[1]
Material: YSiHg2
Method: DFT, PBE
State: optimized geometry

Unit cell a=4.2215 b=3.9483 c=6.0426 alpha=90.00 beta=110.03 gamma=90.00
With the nearest neighbours (Å) after each atom.
Element x y z (fractional)
Y1 0.0000 0.0000 0.0000  4 Si 2.93-2.94, 3 Hg 3.17-3.28
Si1 0.5438 0.5000 0.0903  3 Hg 2.67-2.81, 4 Y 2.93-2.94
Hg1 0.3071 0.5000 0.6196  1 Si 2.67
Hg2 0.7190 0.0000 0.4415  2 Si 2.81, 4 Hg 3.06

Magnetic moment: 0.00 μB/cell
Raw formation energy: -0.22 eV per atom
Calculated volume: 94.6 Å³/cell
E: -0.245 Ry/atom
Symmetry: Pm, No. 6



[2]
Material: YSiHg2
Method: DFT, PBE
State: optimized geometry

Unit cell a=4.2164 b=4.2164 c=21.9153 alpha=90.00 beta=90.00 gamma=90.00
With the nearest neighbours (Å) after each atom.
Element x y z (fractional)
Y1 0.0000 0.0000 0.0000  4 Si 2.98, 4 Hg 3.14
Y2 0.0000 0.5000 0.2500  4 Si 2.98, 4 Hg 3.14
Y3 0.5000 0.0000 0.7500  4 Si 2.98, 4 Hg 3.14
Y4 0.5000 0.5000 0.5000  4 Si 2.98, 4 Hg 3.14
Si1 0.0000 0.0000 0.5000  4 Y 2.98, 4 Hg 3.10
Si2 0.0000 0.5000 0.7500  4 Y 2.98, 4 Hg 3.10
Si3 0.5000 0.0000 0.2500  4 Y 2.98, 4 Hg 3.10
Si4 0.5000 0.5000 0.0000  4 Y 2.98, 4 Hg 3.10
Hg1 0.2377 0.2500 0.6250  4 Hg 2.91-3.06, 2 Si 3.10, 2 Y 3.14
Hg2 0.2500 0.7377 0.8750  4 Hg 2.91-3.06, 2 Si 3.10, 2 Y 3.14
Hg3 0.2500 0.7623 0.3750  4 Hg 2.91-3.06, 2 Si 3.10, 2 Y 3.14
Hg4 0.2623 0.2500 0.1250  4 Hg 2.91-3.06, 2 Si 3.10, 2 Y 3.14
Hg5 0.7377 0.7500 0.1250  4 Hg 2.91-3.06, 2 Si 3.10, 2 Y 3.14
Hg6 0.7500 0.2377 0.3750  4 Hg 2.91-3.06, 2 Si 3.10, 2 Y 3.14
Hg7 0.7500 0.2623 0.8750  4 Hg 2.91-3.06, 2 Si 3.10, 2 Y 3.14
Hg8 0.7623 0.7500 0.6250  4 Hg 2.91-3.06, 2 Si 3.10, 2 Y 3.14

Magnetic moment: 0.00 μB/cell
Raw formation energy: -0.14 eV per atom
Calculated volume: 389.6 Å³/cell
E: -0.240 Ry/atom
Symmetry: I-42d, No. 122



[3]
Material: YSiHg2
Method: DFT, PBE
State: optimized geometry

Unit cell a=4.3811 b=4.3811 c=17.1689 alpha=90.00 beta=90.00 gamma=120.00
With the nearest neighbours (Å) after each atom.
Element x y z (fractional)
Y1 0.0000 0.0000 0.0000  3 Si 2.95, 3 Hg 3.09
Y2 0.3333 0.6667 0.6667  3 Si 2.95, 3 Hg 3.09
Y3 0.6667 0.3333 0.3333  3 Si 2.95, 3 Hg 3.09
Si1 0.0000 0.0000 0.7556  3 Hg 2.63
Si2 0.3333 0.6667 0.4223  3 Hg 2.63
Si3 0.6667 0.3333 0.0889  3 Hg 2.63
Hg1 0.0000 0.0000 0.2297  3 Hg 3.04, 3 Y 3.09
Hg2 0.0000 0.0000 0.4648  3 Si 2.63
Hg3 0.3333 0.6667 0.1315  3 Si 2.63
Hg4 0.3333 0.6667 0.8964  3 Hg 3.04, 3 Y 3.09
Hg5 0.6667 0.3333 0.5630  3 Hg 3.04, 3 Y 3.09
Hg6 0.6667 0.3333 0.7982  3 Si 2.63

Magnetic moment: 0.00 μB/cell
Raw formation energy: -0.19 eV per atom
Calculated volume: 285.4 Å³/cell
E: -0.244 Ry/atom
Symmetry: R3m, No. 160



- The lowest E belongs to which entry?
  number 1